## Zr4BiPb (PBE)

Data for Zr4BiPb after structural relaxation.

Results
The calculation puts the polymorph energy (0 for the lowest one) at 0.000 eV/atom. The value obtained for the formation energy is -0.73 eV per formula unit. Its symmetry is C2/c, No. 15.

abc: 6.039 8.124 7.646
angles: 112.04 100.65 113.28
Positions (direct):
Zr 0.230 0.291 0.398
Zr 0.782 0.412 0.216
Zr 0.066 0.196 0.784
Zr 0.218 0.588 0.784
Pb 0.354 0.604 0.209
Bi 0.259 0.009 0.018
Bi 0.741 0.991 0.982
Pb 0.646 0.396 0.791
Zr 0.770 0.709 0.602
Zr 0.934 0.804 0.216
Zr 0.668 0.107 0.398
Zr 0.332 0.893 0.602

***

## Ta2SnC (PBE)

Data for Ta2SnC after structural relaxation.

Results
The value obtained for the formation energy is 2.29 eV per formula unit. Its symmetry is I-42d, No. 122.

abc: 5.467 5.467 6.757
angles: 66.14 66.14 90.00
Positions (direct):
Sn 0.000 0.000 0.000
Sn 0.750 0.250 0.500
Ta 0.249 0.625 0.250
C 0.250 0.750 0.500
Ta 0.375 0.499 0.750
Ta 0.875 0.751 0.750
Ta 0.501 0.125 0.250
C 0.500 0.500 0.000

***

## ZnHg3P (PBE)

Data for ZnHg3P after structural relaxation.

Results
The calculation puts the polymorph energy (0 for the lowest one) at 0.000 eV/atom. The value obtained for the formation energy is 1.79 eV per formula unit. Its symmetry is Pm-3m, No. 221.

abc: 5.206 5.206 5.206
angles: 90.00 90.00 90.00
Positions (direct):
P 0.000 0.000 0.000
Hg 0.000 0.500 0.000
Hg 0.500 0.000 0.000
Zn 0.500 0.500 0.500
Hg 0.000 0.000 0.500

***

## NaZrAlRh2 (PBE)

Data for NaZrAlRh2 after structural relaxation.

Results
The value obtained for the formation energy is 3.11 eV per formula unit. Its symmetry is P4/mmm, No. 123.

abc: 4.844 5.404 4.844
angles: 90.00 90.00 90.00
Positions (direct):
Zr 0.000 0.000 0.000
Rh 0.000 0.000 0.500
Na 0.500 0.500 0.500
Al 0.000 0.500 0.000
Rh 0.500 0.000 0.000

***

## CaTa2Se (PBE)

Data for CaTa2Se after structural relaxation.

Results
Its symmetry is Cmm2, No. 35. The energy relative to the elements, uncorrected is -0.008 eV/atom.

abc: 3.205 3.205 8.570
angles: 90.00 90.00 105.51
Positions (direct):
Ta 0.500 0.500 0.216
Se 0.500 0.500 0.773
Ta 0.000 0.000 0.991
Ca 0.000 0.000 0.521

***

## YNb (PBE)

Data for YNb after structural relaxation.

Results
The calculation puts the polymorph energy (0 for the lowest one) at 1.339 eV/atom. The value obtained for the formation energy is 2.92 eV per formula unit. Its symmetry is I-43m, No. 217.

abc: 8.830 8.830 8.830
angles: 90.00 90.00 90.00
Positions (direct):
Nb 0.605 0.605 0.395
Y 0.713 0.713 0.713
Nb 0.605 0.395 0.605
Y 0.287 0.287 0.713
Y 0.787 0.213 0.787
Y 0.213 0.787 0.787
Nb 0.395 0.395 0.395
Nb 0.395 0.605 0.605
Nb 0.105 0.105 0.895
Y 0.287 0.713 0.287
Y 0.213 0.213 0.213
Y 0.787 0.787 0.213
Y 0.713 0.287 0.287
Nb 0.105 0.895 0.105
Nb 0.895 0.105 0.105
Nb 0.895 0.895 0.895

***

## Na2Ge7Rh12 (PBE)

Data for Na2Ge7Rh12 after structural relaxation.

Results
The value obtained for the formation energy is -10.00 eV per formula unit. Its symmetry is P-6, No. 174.

abc: 3.934 9.883 9.883
angles: 120.00 90.00 90.00
Positions (direct):
Rh 0.500 0.898 0.617
Ge 0.000 0.743 0.956
Na 0.000 0.667 0.333
Ge 0.500 0.928 0.376
Ge 0.500 0.448 0.072
Rh 0.000 0.768 0.725
Rh 0.500 0.212 0.451
Rh 0.500 0.719 0.102
Ge 0.000 0.044 0.787
Rh 0.000 0.491 0.945
Ge 0.500 0.624 0.552
Ge 0.000 0.213 0.257
Rh 0.000 0.275 0.043
Rh 0.500 0.239 0.788
Rh 0.000 0.453 0.509
Ge 0.000 0.333 0.667
Rh 0.500 0.383 0.281
Rh 0.000 0.957 0.232
Na 0.500 0.000 0.000
Rh 0.500 0.549 0.761
Rh 0.000 0.055 0.547

***

## YTmPuO6 (PBE)

Data for YTmPuO6 after structural relaxation.

Results
Its symmetry is P-31c, No. 163. The energy relative to the elements, uncorrected is -3.079 eV/atom.

abc: 5.670 5.670 9.492
angles: 90.00 90.00 120.00
Site moments in Bohr magnetons follow the coordinates.
Positions (direct):
O 0.335 0.356 0.866  -0.07
O 0.644 0.665 0.634  -0.07
Pu 0.333 0.667 0.750  2.46
O 0.335 0.979 0.634  -0.07
Y 0.000 0.000 0.000  0.00
O 0.979 0.644 0.366  -0.07
Tm 0.667 0.333 0.750  0.00
O 0.021 0.665 0.866  -0.07
O 0.979 0.335 0.134  -0.07
O 0.356 0.335 0.366  -0.07
Y 0.000 0.000 0.500  0.00
Tm 0.333 0.667 0.250  0.00
O 0.665 0.644 0.134  -0.07
O 0.021 0.356 0.634  -0.07
O 0.356 0.021 0.134  -0.07
O 0.644 0.979 0.866  -0.07
O 0.665 0.021 0.366  -0.07
Pu 0.667 0.333 0.250  2.46

***

The calculation returns the following D(E_F) values, one per record and in order: 10.12; 5.84; 1.46; 3.71; 4.25; 33.63; 10.33; 14.43 states/eV/cell.